Record 1
A geometry-optimized ReSiNi2 structure, computed with PBE-GGA.

Summary:
DOS(E_F) ... 5.6 states/eV per cell

a b c (Å): 9.0956 2.6429 4.4725
angles (deg): 90.00 114.28 90.00
Space group Cm (No. 8)
Asymmetric unit:
Re 0.0000 0.0000 0.0000 [2 per cell]
Si 0.2548 0.5000 0.1237 [2 per cell]
Ni 0.2323 0.0000 0.6266 [2 per cell]
Ni 0.4696 0.0000 0.4785 [2 per cell]



Record 2
A geometry-optimized Re2SiNi structure, computed with PBE-GGA.

Summary:
DOS(E_F) ... 3.6 states/eV per cell

a b c (Å): 2.9701 4.2275 8.3119
angles (deg): 90.00 90.00 90.00
Space group Imm2 (No. 44)
Asymmetric unit:
Re 0.0000 0.0000 0.0000 [2 per cell]
Re 0.0000 0.5000 0.2282 [2 per cell]
Si 0.0000 0.5000 0.7442 [2 per cell]
Ni 0.0000 0.0000 0.4552 [2 per cell]



Record 3
A geometry-optimized Re2SiNi structure, computed with PBE-GGA.

Summary:
DOS(E_F) ... 19.6 states/eV per cell

a b c (Å): 6.7111 6.7111 5.1576
angles (deg): 90.00 90.00 90.00
Space group I-42d (No. 122)
Asymmetric unit:
Re 0.2340 0.2500 0.1250 [8 per cell]
Si 0.0000 0.0000 0.0000 [4 per cell]
Ni 0.0000 0.0000 0.5000 [4 per cell]



Record 4
A geometry-optimized Re2SiNi structure, computed with PBE-GGA.

Summary:
DOS(E_F) ... 7.1 states/eV per cell

a b c (Å): 2.7623 2.7623 24.6415
angles (deg): 90.00 90.00 120.00
Space group R3m (No. 160, hexagonal axes)
Asymmetric unit:
Re 0.0000 0.0000 0.0000 [3 per cell]
Re 0.0000 0.0000 0.2457 [3 per cell]
Si 0.0000 0.0000 0.7516 [3 per cell]
Ni 0.0000 0.0000 0.4904 [3 per cell]



Record 5
A geometry-optimized ReSiNi2 structure, computed with PBE-GGA.

Summary:
DOS(E_F) ... 2.4 states/eV per cell

a b c (Å): 3.0747 3.9133 4.0427
angles (deg): 90.00 90.00 90.00
Space group Pmmm (No. 47)
Asymmetric unit:
Re 0.0000 0.0000 0.0000 [1 per cell]
Si 0.5000 0.5000 0.0000 [1 per cell]
Ni 0.0000 0.5000 0.5000 [1 per cell]
Ni 0.5000 0.0000 0.5000 [1 per cell]



Record 6
A geometry-optimized ReSiNi2 structure, computed with PBE-GGA.

Summary:
DOS(E_F) ... 12.9 states/eV per cell

a b c (Å): 2.6739 2.6739 23.9194
angles (deg): 90.00 90.00 120.00
Space group R-3m (No. 166, hexagonal axes)
Asymmetric unit:
Re 0.0000 0.0000 0.0000 [3 per cell]
Si 0.0000 0.0000 0.5000 [3 per cell]
Ni 0.0000 0.0000 0.2434 [6 per cell]



Record 7
A geometry-optimized Re2SiNi structure, computed with PBE-GGA.

Summary:
DOS(E_F) ... 3.7 states/eV per cell

a b c (Å): 3.0775 4.1528 4.2334
angles (deg): 90.00 90.00 90.00
Space group Pmmm (No. 47)
Asymmetric unit:
Re 0.0000 0.0000 0.0000 [1 per cell]
Re 0.5000 0.0000 0.5000 [1 per cell]
Si 0.0000 0.5000 0.5000 [1 per cell]
Ni 0.5000 0.5000 0.0000 [1 per cell]



Record 8
A geometry-optimized Re2SiNi structure, computed with PBE-GGA.

Summary:
DOS(E_F) ... 7.7 states/eV per cell

a b c (Å): 2.9163 4.3582 8.6591
angles (deg): 90.00 90.00 90.00
Space group Immm (No. 71)
Asymmetric unit:
Re 0.0000 0.0000 0.2270 [4 per cell]
Si 0.0000 0.5000 0.5000 [2 per cell]
Ni 0.0000 0.5000 0.0000 [2 per cell]



Record 9
A geometry-optimized ReSi4Ni structure, computed with PBE-GGA.

Summary:
DOS(E_F) ... 10.1 states/eV per cell

a b c (Å): 6.7431 6.7431 6.7431
angles (deg): 90.00 90.00 90.00
Space group F-43m (No. 216)
Asymmetric unit:
Re 0.0000 0.0000 0.0000 [4 per cell]
Si 0.1252 0.1252 0.3748 [16 per cell]
Ni 0.2500 0.2500 0.7500 [4 per cell]



Record 10
A geometry-optimized ReSiNi4 structure, computed with PBE-GGA.

Summary:
DOS(E_F) ... 33.9 states/eV per cell

a b c (Å): 6.5619 6.5619 6.5619
angles (deg): 90.00 90.00 90.00
Space group F-43m (No. 216)
Asymmetric unit:
Re 0.0000 0.0000 0.0000 [4 per cell]
Si 0.2500 0.2500 0.7500 [4 per cell]
Ni 0.1252 0.1252 0.3748 [16 per cell]



Record 11
A geometry-optimized ReSiNi3 structure, computed with PBE-GGA.

Summary:
DOS(E_F) ... 4.9 states/eV per cell
Offset from the most stable computed form ... 0.6330 eV per atom

a b c (Å): 4.5006 4.5006 4.5006
angles (deg): 90.00 90.00 90.00
Space group Pm-3m (No. 221)
Asymmetric unit:
Re 0.0000 0.0000 0.0000 [1 per cell]
Si 0.5000 0.5000 0.5000 [1 per cell]
Ni 0.0000 0.0000 0.5000 [3 per cell]



Record 12
A geometry-optimized Re2SiNi structure, computed with PBE-GGA.

Summary:
DOS(E_F) ... 11.7 states/eV per cell

a b c (Å): 2.7535 2.7535 24.7850
angles (deg): 90.00 90.00 120.00
Space group R-3m (No. 166, hexagonal axes)
Asymmetric unit:
Re 0.0000 0.0000 0.2492 [6 per cell]
Si 0.0000 0.0000 0.5000 [3 per cell]
Ni 0.0000 0.0000 0.0000 [3 per cell]



Number 1: ΔE_f (raw) -169 meV per atom. Number 2: ΔE_f (raw) -180 meV per atom. Number 3: ΔE_f (raw) 558 meV per atom. Number 4: ΔE_f (raw) -78 meV per atom. Number 5: ΔE_f (raw) -153 meV per atom. Number 6: ΔE_f (raw) -117 meV per atom. Number 7: ΔE_f (raw) 129 meV per atom. Number 8: ΔE_f (raw) 67 meV per atom. Number 9: ΔE_f (raw) 485 meV per atom. Number 10: ΔE_f (raw) 157 meV per atom. Number 11: ΔE_f (raw) 1493 meV per atom. Number 12: ΔE_f (raw) 77 meV per atom.